# 1
VASP calculation (PBE) on an optimized crystal structure of YAlFe2B.

Cell lengths 4.5036, 4.5036, 5.4803 Å; angles 90.00, 90.00, 90.00 degrees
Closest atoms and distances in Å follow each position.
Fractional coordinates of all 5 atoms:
Y: 0.0000 0.0000 0.0000  4 Fe 2.25
Al: 0.0000 0.0000 0.5000  2 Y 2.74
Fe: 0.0000 0.5000 0.0000  2 Y 2.25
Fe: 0.5000 0.0000 0.0000  2 Y 2.25
B: 0.5000 0.5000 0.5000  4 Al 3.18, 8 Fe 3.55

## Properties
E_tot, eV/atom: -4.06
Calculated volume, Å³ per cell: 111
Space group: P4/mmm, No. 123
Calculated formation energy, eV per formula unit: 13.49
DOS(E_F), states/eV per atom: 2.3987

=====

# 2
VASP calculation (PBE) on an optimized crystal structure of AlGaB3.

Cell lengths 4.1470, 4.1470, 4.1470 Å; angles 90.00, 90.00, 90.00 degrees
Closest atoms and distances in Å follow each position.
Fractional coordinates of all 5 atoms:
Al: 0.0000 0.0000 0.0000  12 B 2.93
Ga: 0.5000 0.5000 0.5000  6 B 2.07
B: 0.0000 0.5000 0.5000  2 Ga 2.07
B: 0.5000 0.0000 0.5000  2 Ga 2.07
B: 0.5000 0.5000 0.0000  2 Ga 2.07

## Properties
E_tot, eV/atom: -3.53
Calculated volume, Å³ per cell: 71
Space group: Pm-3m, No. 221
Calculated formation energy, eV per formula unit: 9.16
DOS(E_F), states/eV per atom: 0.6197
Polymorph energy (0 for the lowest one), meV/atom: 120

=====

# 3
VASP calculation (PBE) on an optimized crystal structure of AlGa3B.

Cell lengths 4.9004, 4.9004, 4.9004 Å; angles 90.00, 90.00, 90.00 degrees
Closest atoms and distances in Å follow each position.
Fractional coordinates of all 5 atoms:
Al: 0.0000 0.0000 0.0000  6 Ga 2.45
Ga: 0.0000 0.0000 0.5000  2 Al 2.45
Ga: 0.0000 0.5000 0.0000  2 Al 2.45
Ga: 0.5000 0.0000 0.0000  2 Al 2.45
B: 0.5000 0.5000 0.5000  12 Ga 3.47

## Properties
E_tot, eV/atom: -2.67
Calculated volume, Å³ per cell: 118
Space group: Pm-3m, No. 221
Calculated formation energy, eV per formula unit: 6.17
DOS(E_F), states/eV per atom: 0.8416
Polymorph energy (0 for the lowest one), meV/atom: 777

=====

# 4
VASP calculation (PBE) on an optimized crystal structure of AlGa3B.

Cell lengths 4.4075, 4.4075, 4.4075 Å; angles 90.00, 90.00, 90.00 degrees
Closest atoms and distances in Å follow each position.
Fractional coordinates of all 5 atoms:
Al: 0.0000 0.0000 0.0000  12 Ga 3.12
Ga: 0.0000 0.5000 0.5000  2 B 2.20
Ga: 0.5000 0.0000 0.5000  2 B 2.20
Ga: 0.5000 0.5000 0.0000  2 B 2.20
B: 0.5000 0.5000 0.5000  6 Ga 2.20

## Properties
E_tot, eV/atom: -3.44
Calculated volume, Å³ per cell: 86
Space group: Pm-3m, No. 221
Calculated formation energy, eV per formula unit: 2.29
DOS(E_F), states/eV per atom: 0.5278
Polymorph energy (0 for the lowest one), meV/atom: 0

=====

# 5
VASP calculation (PBE) on an optimized crystal structure of AlGaB3.

Cell lengths 4.1883, 4.1883, 4.1883 Å; angles 90.00, 90.00, 90.00 degrees
Closest atoms and distances in Å follow each position.
Fractional coordinates of all 5 atoms:
Al: 0.0000 0.0000 0.0000  6 B 2.09
Ga: 0.5000 0.5000 0.5000  12 B 2.96
B: 0.0000 0.0000 0.5000  2 Al 2.09
B: 0.0000 0.5000 0.0000  2 Al 2.09
B: 0.5000 0.0000 0.0000  2 Al 2.09

## Properties
E_tot, eV/atom: -3.65
Calculated volume, Å³ per cell: 73
Space group: Pm-3m, No. 221
Calculated formation energy, eV per formula unit: 8.56
DOS(E_F), states/eV per atom: 0.6460
Polymorph energy (0 for the lowest one), meV/atom: 0

=====

# 6
VASP calculation (PBE) on an optimized crystal structure of AlGaB2.

Cell lengths 4.0182, 4.0182, 4.0182 Å; angles 60.00, 60.00, 60.00 degrees
Closest atoms and distances in Å follow each position.
Fractional coordinates of all 4 atoms:
Al: 0.0000 0.0000 0.0000  8 B 2.46
Ga: 0.5000 0.5000 0.5000  8 B 2.46
B: 0.2500 0.2500 0.2500  4 Al 2.46, 4 Ga 2.46
B: 0.7500 0.7500 0.7500  4 Al 2.46, 4 Ga 2.46

## Properties
E_tot, eV/atom: -3.98
Calculated volume, Å³ per cell: 46
Space group: Fm-3m, No. 225
Calculated formation energy, eV per formula unit: 4.22
DOS(E_F), states/eV per atom: 0.4397
Polymorph energy (0 for the lowest one), meV/atom: 156

=====

# 7
VASP calculation (PBE) on an optimized crystal structure of AlGaB.

Cell lengths 3.8737, 3.8737, 3.8737 Å; angles 60.00, 60.00, 60.00 degrees
Closest atoms and distances in Å follow each position.
Fractional coordinates of all 3 atoms:
Al: 0.0000 0.0000 0.0000  4 B 2.37
Ga: 0.5000 0.5000 0.5000  4 B 2.37
B: 0.2500 0.2500 0.2500  4 Al 2.37, 4 Ga 2.37

## Properties
E_tot, eV/atom: -4.10
Calculated volume, Å³ per cell: 41
Space group: F-43m, No. 216
Calculated formation energy, eV per formula unit: 1.15
DOS(E_F), states/eV per atom: 0.6014

=====

# 8
VASP calculation (PBE) on an optimized crystal structure of AlGaB2.

Cell lengths 5.4106, 5.4106, 5.4106 Å; angles 118.91, 118.91, 91.90 degrees
Closest atoms and distances in Å follow each position.
Fractional coordinates of all 8 atoms:
Al: 0.0000 0.0000 0.0000  4 B 2.18
Al: 0.7500 0.2500 0.5000  4 B 2.18
Ga: 0.2500 0.7500 0.5000  4 B 2.14
Ga: 0.5000 0.5000 0.0000  4 B 2.14
B: 0.1306 0.1250 0.5056  2 Ga 2.14, 2 Al 2.18
B: 0.3750 0.8694 0.9944  2 Ga 2.14, 2 Al 2.18
B: 0.6194 0.6250 0.4944  2 Ga 2.14, 2 Al 2.18
B: 0.8750 0.3806 0.0056  2 Ga 2.14, 2 Al 2.18

## Properties
E_tot, eV/atom: -4.13
Calculated volume, Å³ per cell: 114
Space group: I-42d, No. 122
Calculated formation energy, eV per formula unit: 3.59
DOS(E_F), states/eV per atom: 0.4649
Polymorph energy (0 for the lowest one), meV/atom: 0

=====

# 9
VASP calculation (PBE) on an optimized crystal structure of AlGaGe2B.

Cell lengths 4.5206, 4.5206, 4.2302 Å; angles 90.00, 90.00, 90.00 degrees
Closest atoms and distances in Å follow each position.
Fractional coordinates of all 5 atoms:
Al: 0.0000 0.0000 0.0000  8 Ge 3.10, 4 Ga 3.20
Ga: 0.5000 0.5000 0.0000  2 B 2.12
Ge: 0.0000 0.5000 0.5000  2 B 2.26
Ge: 0.5000 0.0000 0.5000  2 B 2.26
B: 0.5000 0.5000 0.5000  2 Ga 2.12, 4 Ge 2.26

## Properties
E_tot, eV/atom: -3.95
Calculated volume, Å³ per cell: 86
Space group: P4/mmm, No. 123
Calculated formation energy, eV per formula unit: 2.92
DOS(E_F), states/eV per atom: 0.4485

=====

# 10
VASP calculation (PBE) on an optimized crystal structure of AlGa2B2Ir5.

Cell lengths 9.4566, 9.4566, 2.9254 Å; angles 90.00, 90.00, 90.00 degrees
Closest atoms and distances in Å follow each position.
Fractional coordinates of all 20 atoms:
Al: 0.0000 0.0000 0.0000  8 Ir 2.57
Al: 0.5000 0.5000 0.0000  8 Ir 2.57
Ga: 0.1761 0.3239 0.0000  3 B 2.63-2.90, 6 Ir 2.73-2.77, 2 Ga 2.93
Ga: 0.3239 0.8239 0.0000  3 B 2.63-2.90, 6 Ir 2.73-2.77, 2 Ga 2.93
Ga: 0.6761 0.1761 0.0000  3 B 2.63-2.90, 6 Ir 2.73-2.77, 2 Ga 2.93
Ga: 0.8239 0.6761 0.0000  3 B 2.63-2.90, 6 Ir 2.73-2.77, 2 Ga 2.93
B: 0.1271 0.6271 0.0000  6 Ir 2.18-2.24
B: 0.3729 0.1271 0.0000  6 Ir 2.18-2.24
B: 0.6271 0.8729 0.0000  6 Ir 2.18-2.24
B: 0.8729 0.3729 0.0000  6 Ir 2.18-2.24
Ir: 0.0000 0.5000 0.5000  4 B 2.24
Ir: 0.0820 0.7920 0.5000  2 B 2.18
Ir: 0.2080 0.0820 0.5000  2 B 2.18
Ir: 0.2920 0.5820 0.5000  2 B 2.18
Ir: 0.4180 0.2920 0.5000  2 B 2.18
Ir: 0.5000 0.0000 0.5000  4 B 2.24
Ir: 0.5820 0.7080 0.5000  2 B 2.18
Ir: 0.7080 0.4180 0.5000  2 B 2.18
Ir: 0.7920 0.9180 0.5000  2 B 2.18
Ir: 0.9180 0.2080 0.5000  2 B 2.18

## Properties
E_tot, eV/atom: -7.06
Calculated volume, Å³ per cell: 262
Space group: P4/mbm, No. 127
Calculated formation energy, eV per formula unit: -3.17
DOS(E_F), states/eV per atom: 0.3549

=====

# 11
VASP calculation (PBE) on an optimized crystal structure of Al2GaB2Ir5.

Cell lengths 9.3004, 9.3004, 2.9941 Å; angles 90.00, 90.00, 90.00 degrees
Closest atoms and distances in Å follow each position.
Fractional coordinates of all 20 atoms:
Al: 0.1760 0.3240 0.0000  3 B 2.59-2.85, 6 Ir 2.72-2.76
Al: 0.3240 0.8240 0.0000  3 B 2.59-2.85, 6 Ir 2.72-2.76
Al: 0.6760 0.1760 0.0000  3 B 2.59-2.85, 6 Ir 2.72-2.76
Al: 0.8240 0.6760 0.0000  3 B 2.59-2.85, 6 Ir 2.72-2.76
Ga: 0.0000 0.0000 0.0000  8 Ir 2.57
Ga: 0.5000 0.5000 0.0000  8 Ir 2.57
B: 0.1269 0.6269 0.0000  6 Ir 2.17-2.24
B: 0.3731 0.1269 0.0000  6 Ir 2.17-2.24
B: 0.6269 0.8731 0.0000  6 Ir 2.17-2.24
B: 0.8731 0.3731 0.0000  6 Ir 2.17-2.24
Ir: 0.0000 0.5000 0.5000  4 B 2.24
Ir: 0.0819 0.7904 0.5000  2 B 2.17
Ir: 0.2096 0.0819 0.5000  2 B 2.17
Ir: 0.2904 0.5819 0.5000  2 B 2.17
Ir: 0.4181 0.2904 0.5000  2 B 2.17
Ir: 0.5000 0.0000 0.5000  4 B 2.24
Ir: 0.5819 0.7096 0.5000  2 B 2.17
Ir: 0.7096 0.4181 0.5000  2 B 2.17
Ir: 0.7904 0.9181 0.5000  2 B 2.17
Ir: 0.9181 0.2096 0.5000  2 B 2.17

## Properties
E_tot, eV/atom: -7.27
Calculated volume, Å³ per cell: 259
Space group: P4/mbm, No. 127
Calculated formation energy, eV per formula unit: -4.50
DOS(E_F), states/eV per atom: 0.3068

=====

# 12
VASP calculation (PBE) on an optimized crystal structure of K2AlGaB.

Cell lengths 6.3794, 6.3794, 3.8548 Å; angles 90.00, 90.00, 90.00 degrees
Closest atoms and distances in Å follow each position.
Fractional coordinates of all 5 atoms:
K: 0.0000 0.5000 0.0000  2 B 3.19
K: 0.5000 0.0000 0.0000  2 B 3.19
Al: 0.0000 0.0000 0.5000  8 K 3.73, 2 Al 3.85
Ga: 0.5000 0.5000 0.5000  2 B 1.93
B: 0.5000 0.5000 0.0000  2 Ga 1.93

## Properties
E_tot, eV/atom: -2.53
Calculated volume, Å³ per cell: 157
Space group: P4/mmm, No. 123
Calculated formation energy, eV per formula unit: 2.99
DOS(E_F), states/eV per atom: 0.5545

=====

Among the records above, which one has the highest E_tot? K2AlGaB